Entry 1:
# Ta2SbS

Crystalline Ta2SbS at its relaxed geometry (PBE-GGA, Alexandria).

```
Ta2SbS
1.0
-2.474 2.474 7.642
2.474 -2.474 7.642
2.474 2.474 -7.642
Ta Sb S
4 2 2
direct
0.035 0.625 0.910
0.375 0.285 0.410
0.715 0.125 0.090
0.875 0.965 0.590
0.250 0.750 0.500
0.500 0.500 0.000
0.000 0.000 0.000
0.750 0.250 0.500
```

E_tot, eV per atom: -7.671
Uncorrected formation energy, kJ/mol of formula units: 123
Space group: No. 122
Polymorph energy (0 for the lowest one), kJ per mole of atoms: 27.6

---

Entry 2:
# Ta4SbS8

Crystalline Ta4SbS8 at its relaxed geometry (PBE-GGA, Alexandria).

```
Ta4SbS8
1.0
3.341 1.929 7.524
-3.341 1.929 7.524
0.000 -3.858 7.524
Ta Sb S
4 1 8
direct
0.000 0.000 0.000
0.000 0.500 0.500
0.500 0.000 0.500
0.500 0.500 0.000
0.500 0.500 0.500
0.240 0.240 0.731
0.240 0.731 0.240
0.264 0.264 0.264
0.269 0.760 0.760
0.731 0.240 0.240
0.736 0.736 0.736
0.760 0.269 0.760
0.760 0.760 0.269
```

E_tot, eV per atom: -7.313
Uncorrected formation energy, kJ/mol of formula units: -1015
Space group: No. 166

---

Entry 3:
# TaSbS

Crystalline TaSbS at its relaxed geometry (PBE-GGA, Alexandria).

```
TaSbS
1.0
3.270 0.000 0.000
-1.635 2.832 0.000
0.000 0.000 7.741
Ta Sb S
1 1 1
direct
0.000 0.000 0.000
0.333 0.667 0.705
0.667 0.333 0.203
```

E_tot, eV per atom: -7.206
Uncorrected formation energy, kJ/mol of formula units: -146
Space group: No. 156
Polymorph energy (0 for the lowest one), kJ per mole of atoms: 0.0

---

Entry 4:
# Ta2Sb2S7

Crystalline Ta2Sb2S7 at its relaxed geometry (PBE-GGA, Alexandria).

```
Ta2Sb2S7
1.0
-1.738 6.685 6.347
1.738 -6.685 6.347
1.738 6.685 -6.347
Ta Sb S
2 2 7
direct
0.000 0.000 0.000
0.766 0.266 0.500
0.022 0.721 0.301
0.420 0.721 0.699
0.028 0.414 0.615
0.151 0.651 0.500
0.272 0.079 0.193
0.575 0.683 0.892
0.791 0.683 0.108
0.799 0.414 0.385
0.886 0.079 0.807
```

E_tot, eV per atom: -6.139
Uncorrected formation energy, kJ/mol of formula units: -645
Space group: No. 44